# 1
# Ho3Tm2Al2

A relaxed structure of Ho3Tm2Al2 (GGA-PBE, Alexandria).

POSCAR file:
```
Ho3Tm2Al2
1.0
1.710 -16.017 0.000
1.710 16.017 0.000
0.000 0.000 3.425
Ho Tm Al
3 2 2
direct
0.000 0.000 0.000 Ho
0.124 0.876 0.000 Ho
0.876 0.124 0.000 Ho
0.297 0.703 0.500 Tm
0.703 0.297 0.500 Tm
0.438 0.562 0.500 Al
0.562 0.438 0.500 Al
```

- space group = Cmmm
- crystal system = orthorhombic

# 2
# Ho4TmAl5

A relaxed structure of Ho4TmAl5 (GGA-PBE, Alexandria).

POSCAR file:
```
Ho4TmAl5
1.0
3.561 0.000 0.000
0.000 3.561 0.000
0.000 0.000 18.041
Ho Tm Al
4 1 5
direct
0.000 0.000 0.101 Ho
0.000 0.000 0.302 Ho
0.000 0.000 0.698 Ho
0.000 0.000 0.899 Ho
0.000 0.000 0.500 Tm
0.500 0.500 0.000 Al
0.500 0.500 0.201 Al
0.500 0.500 0.402 Al
0.500 0.500 0.598 Al
0.500 0.500 0.799 Al
```

- space group = P4/mmm
- crystal system = tetragonal

# 3
# Ho4TmAl

A relaxed structure of Ho4TmAl (GGA-PBE, Alexandria).

POSCAR file:
```
Ho4TmAl
1.0
3.497 0.000 0.000
0.000 3.497 0.000
0.000 0.000 13.935
Ho Tm Al
4 1 1
direct
0.000 0.000 0.138 Ho
0.000 0.000 0.862 Ho
0.500 0.500 0.322 Ho
0.500 0.500 0.678 Ho
0.000 0.000 0.500 Tm
0.500 0.500 0.000 Al
```

- space group = P4/mmm
- crystal system = tetragonal

# 4
# HoTm2Al

A relaxed structure of HoTm2Al (GGA-PBE, Alexandria).

POSCAR file:
```
HoTm2Al
1.0
0.000 3.740 3.740
3.740 0.000 3.740
3.740 3.740 0.000
Ho Tm Al
1 2 1
direct
0.000 0.000 0.000 Ho
0.250 0.250 0.250 Tm
0.750 0.750 0.750 Tm
0.500 0.500 0.500 Al
```

- space group = Fm-3m
- crystal system = cubic

# 5
# Ho8Tm2Al

A relaxed structure of Ho8Tm2Al (GGA-PBE, Alexandria).

POSCAR file:
```
Ho8Tm2Al
1.0
9.480 -2.715 0.000
9.480 2.715 0.000
-0.427 0.000 6.344
Ho Tm Al
8 2 1
direct
0.043 0.043 0.254 Ho
0.155 0.155 0.810 Ho
0.342 0.342 0.879 Ho
0.421 0.421 0.399 Ho
0.579 0.579 0.601 Ho
0.658 0.658 0.121 Ho
0.845 0.845 0.190 Ho
0.957 0.957 0.746 Ho
0.241 0.241 0.334 Tm
0.759 0.759 0.666 Tm
0.500 0.500 0.000 Al
```

- space group = C2/m
- crystal system = monoclinic

# 6
# HoTm4Al2

A relaxed structure of HoTm4Al2 (GGA-PBE, Alexandria).

POSCAR file:
```
HoTm4Al2
1.0
6.039 0.000 0.000
0.000 10.266 0.000
-2.565 0.000 6.147
Ho Tm Al
2 8 4
direct
0.000 0.000 0.000 Ho
0.000 0.500 0.500 Ho
0.005 0.162 0.500 Tm
0.005 0.338 0.000 Tm
0.495 0.713 0.499 Tm
0.495 0.787 0.999 Tm
0.505 0.213 0.001 Tm
0.505 0.287 0.501 Tm
0.995 0.662 0.000 Tm
0.995 0.838 0.500 Tm
0.471 0.501 0.183 Al
0.471 0.999 0.683 Al
0.529 0.001 0.317 Al
0.529 0.499 0.817 Al
```

- space group = P2_1/c
- crystal system = monoclinic

# 7
# Ho4TmAl2

A relaxed structure of Ho4TmAl2 (GGA-PBE, Alexandria).

POSCAR file:
```
Ho4TmAl2
1.0
2.497 1.442 9.978
-2.497 1.442 9.978
0.000 -2.883 9.978
Ho Tm Al
4 1 2
direct
0.103 0.103 0.103 Ho
0.298 0.298 0.298 Ho
0.702 0.702 0.702 Ho
0.897 0.897 0.897 Ho
0.500 0.500 0.500 Tm
0.401 0.401 0.401 Al
0.599 0.599 0.599 Al
```

- space group = R-3m
- crystal system = trigonal

# 8
# HoTm2Al

A relaxed structure of HoTm2Al (GGA-PBE, Alexandria).

POSCAR file:
```
HoTm2Al
1.0
4.702 0.000 0.000
0.000 4.702 0.000
0.000 0.000 4.715
Ho Tm Al
1 2 1
direct
0.000 0.000 0.000 Ho
0.000 0.500 0.500 Tm
0.500 0.000 0.500 Tm
0.500 0.500 0.000 Al
```

- space group = P4/mmm
- crystal system = tetragonal

In eV/cell, the E values for the records above are, in order, -31.21; -45.42; -27.25; -17.42; -49.77; -60.96; -29.50; -18.05.
In eV/atom, the formation enthalpy at 0 K values for the records above are, in order, -0.150; -0.392; -0.121; -0.039; -0.042; -0.076; 0.109; -0.197.